Entry 1:
This record from Alexandria via LeMat-Bulk describes a geometry-optimized RbLa2Zn structure. The functional is PBE-GGA.

Structure (CIF):
```
data_RbLa2Zn
_chemical_formula_sum 'Rb4 La8 Zn4'
_cell_length_a 6.5969
_cell_length_b 6.5969
_cell_length_c 19.7431
_cell_angle_alpha 90.00
_cell_angle_beta 90.00
_cell_angle_gamma 90.00
_space_group_name_H-M_alt 'I 41/a m d'
_space_group_IT_number 141
loop_
_space_group_symop_operation_xyz
'x,y,z'
'-x,-y,-z'
'-y+1/4,x+3/4,z+1/4'
'y+1/4,-x+3/4,-z+1/4'
'-x+1/2,-y,z+1/2'
'x+1/2,y,-z+1/2'
'y+1/4,-x+1/4,z+3/4'
'-y+1/4,x+1/4,-z+3/4'
'x,-y,-z'
'-x,y,z'
'-y+1/4,-x+1/4,-z+3/4'
'y+1/4,x+1/4,z+3/4'
'-x+1/2,y,-z+1/2'
'x+1/2,-y,z+1/2'
'y+1/4,x+3/4,-z+1/4'
'-y+1/4,-x+3/4,z+1/4'
'x+1/2,y+1/2,z+1/2'
'-x+1/2,-y+1/2,-z+1/2'
'-y+3/4,x+1/4,z+3/4'
'y+3/4,-x+1/4,-z+3/4'
'-x,-y+1/2,z'
'x,y+1/2,-z'
'y+3/4,-x+3/4,z+1/4'
'-y+3/4,x+3/4,-z+1/4'
'x+1/2,-y+1/2,-z+1/2'
'-x+1/2,y+1/2,z+1/2'
'-y+3/4,-x+3/4,-z+1/4'
'y+3/4,x+3/4,z+1/4'
'-x,y+1/2,-z'
'x,-y+1/2,z'
'y+3/4,x+1/4,-z+3/4'
'-y+3/4,-x+1/4,z+3/4'
loop_
_atom_site_label
_atom_site_type_symbol
_atom_site_fract_x
_atom_site_fract_y
_atom_site_fract_z
Rb1 Rb 0.0000 0.2500 0.3750
La1 La 0.0000 0.0000 0.0000
Zn1 Zn 0.0000 0.2500 0.8750
```

Properties
As for the energy relative to the elements: 0.628 eV/atom. As for the crystal system: tetragonal. The calculated total energy comes out at -2.396 eV per atom.



Entry 2:
This record from Alexandria via LeMat-Bulk describes a geometry-optimized Ta5TiW4 structure. The functional is PBE-GGA.

Structure (CIF):
```
data_Ta5TiW4
_chemical_formula_sum 'Ta5 Ti1 W4'
_cell_length_a 3.2461
_cell_length_b 3.2461
_cell_length_c 16.2946
_cell_angle_alpha 90.00
_cell_angle_beta 90.00
_cell_angle_gamma 90.00
_space_group_name_H-M_alt 'P 4/m m m'
_space_group_IT_number 123
_space_group_name_Hall '-P 4 2'
loop_
_atom_site_label
_atom_site_type_symbol
_atom_site_fract_x
_atom_site_fract_y
_atom_site_fract_z
Ta1 Ta 0.0000 0.0000 0.0000
Ta2 Ta 0.0000 0.0000 0.1987
Ta3 Ta 0.0000 0.0000 0.3951
Ti1 Ti 0.5000 0.5000 0.5000
W1 W 0.5000 0.5000 0.0994
W2 W 0.5000 0.5000 0.2996
```

Properties
As for the energy relative to the elements: -0.059 eV/atom. As for the crystal system: tetragonal. The calculated total energy comes out at -11.956 eV per atom.



Entry 3:
This record from Alexandria via LeMat-Bulk describes a geometry-optimized BaReHg2 structure. The functional is PBE-GGA.

Structure (CIF):
```
data_BaReHg2
_chemical_formula_sum 'Ba4 Re4 Hg8'
_cell_length_a 5.3761
_cell_length_b 5.3761
_cell_length_c 18.3021
_cell_angle_alpha 90.00
_cell_angle_beta 90.00
_cell_angle_gamma 90.00
_space_group_name_H-M_alt 'I -4 2 d'
_space_group_IT_number 122
_space_group_name_Hall 'I -4 2bw'
loop_
_atom_site_label
_atom_site_type_symbol
_atom_site_fract_x
_atom_site_fract_y
_atom_site_fract_z
Ba1 Ba 0.0000 0.0000 0.0000
Re1 Re 0.0000 0.0000 0.5000
Hg1 Hg 0.1033 0.2500 0.6250
```

Properties
As for the energy relative to the elements: 0.753 eV/atom. As for the crystal system: tetragonal. The excess energy over the best structure of this formula in the dataset comes out at 64.1 kJ/mol of formula units. The calculated total energy comes out at -2.991 eV per atom.



Entry 4:
This record from Alexandria via LeMat-Bulk describes a geometry-optimized VIrRh structure. The functional is PBE-GGA.

Structure (CIF):
```
data_VIrRh
_chemical_formula_sum 'V1 Ir1 Rh1'
_cell_length_a 4.3131
_cell_length_b 4.3131
_cell_length_c 2.6892
_cell_angle_alpha 90.00
_cell_angle_beta 90.00
_cell_angle_gamma 120.00
_space_group_name_H-M_alt 'P -6 m 2'
_space_group_IT_number 187
_space_group_name_Hall 'P -6 2'
loop_
_atom_site_label
_atom_site_type_symbol
_atom_site_fract_x
_atom_site_fract_y
_atom_site_fract_z
V1 V 0.0000 0.0000 0.0000
Ir1 Ir 0.6667 0.3333 0.5000
Rh1 Rh 0.3333 0.6667 0.5000
```

Properties
As for the energy relative to the elements: -0.100 eV/atom. As for the crystal system: hexagonal. The excess energy over the best structure of this formula in the dataset comes out at 88.2 kJ/mol of formula units. The calculated total energy comes out at -8.544 eV per atom.



- Among the records above, which one has the highest energy relative to the elements?
  BaReHg2